The following is a PBEsol calculation of an optimized crystal structure of BaSrMoN2, from the Alexandria database.

* density of states at the Fermi level: 3.09 states/eV/f.u.
* magnetization: 6.56 μB/f.u.
* space group: No. 123
* formation energy (no corrections): 227.1 kJ per mole of atoms

POSCAR file:
```
BaSrMoN2
1.0
-3.728 1.811 2.183
1.103 -2.396 3.871
3.739 5.142 2.117
Sr Mo Ba N
1 1 1 2
direct
0.000 0.000 0.500 Sr
0.500 0.500 0.500 Mo
0.000 0.000 0.000 Ba
0.000 0.500 0.000 N
0.500 0.000 0.000 N
```